Material: Cd2PbAu2
Method: DFT, GGA-PBEsol
State: optimized geometry

- calculated formation energy (meV/atom) = -78
- magnetic moment (μB/atom) = 0.00

Unit cell a=7.1483 b=7.1483 c=7.1483 alpha=146.69 beta=146.69 gamma=47.83
Last column: nearest neighbours and their distance in Å.
Sites, in units of the cell vectors:
Cd: 0.2500 0.7500 0.5000  4 Au 2.81, 4 Cd 2.90
Cd: 0.7500 0.2500 0.5000  4 Au 2.81, 4 Cd 2.90
Pb: 0.0000 0.0000 0.0000  8 Au 3.19
Au: 0.3973 0.3973 0.0000  1 Au 2.68, 4 Cd 2.81
Au: 0.6027 0.6027 0.0000  1 Au 2.68, 4 Cd 2.81

***

Material: Be2MoN
Method: DFT, GGA-PBEsol
State: optimized geometry

- ΔE_f (raw) (meV/atom) = -51
- magnetic moment (μB/atom) = 0.00

Unit cell a=4.6118 b=4.6118 c=4.6118 alpha=103.11 beta=103.11 gamma=123.12
Last column: nearest neighbours and their distance in Å.
Sites, in units of the cell vectors:
Be: 0.0220 0.1250 0.3970  2 N 1.75
Be: 0.3750 0.9780 0.1030  2 N 1.75
Be: 0.7280 0.6250 0.6030  2 N 1.75
Be: 0.8750 0.2720 0.8970  2 N 1.75
Mo: 0.2500 0.7500 0.5000  2 N 2.20, 4 Be 2.34
Mo: 0.5000 0.5000 0.0000  2 N 2.20, 4 Be 2.34
N: 0.0000 0.0000 0.0000  4 Be 1.75
N: 0.7500 0.2500 0.5000  4 Be 1.75

***

Material: CaLa3Tl
Method: DFT, GGA-PBEsol
State: optimized geometry

- calculated formation energy (meV/atom) = 718
- magnetic moment (μB/atom) = 0.00

Unit cell a=5.6479 b=5.6479 c=5.6479 alpha=90.00 beta=90.00 gamma=90.00
Last column: nearest neighbours and their distance in Å.
Sites, in units of the cell vectors:
Ca: 0.0000 0.0000 0.0000  6 La 2.82
La: 0.0000 0.0000 0.5000  2 Ca 2.82
La: 0.0000 0.5000 0.0000  2 Ca 2.82
La: 0.5000 0.0000 0.0000  2 Ca 2.82
Tl: 0.5000 0.5000 0.5000  12 La 3.99

***

Material: NiOF2
Method: DFT, GGA-PBEsol
State: optimized geometry

- ΔE_f (raw) (meV/atom) = -823
- magnetic moment (μB/atom) = 0.70

Unit cell a=5.2095 b=5.2095 c=5.2095 alpha=96.61 beta=96.61 gamma=140.34
Last column: nearest neighbours and their distance in Å.
Sites, in units of the cell vectors:
Ni: 0.0000 0.0000 0.0000  2 O 1.77, 4 F 1.94
Ni: 0.7500 0.2500 0.5000  2 O 1.77, 4 F 1.94
O: 0.2500 0.7500 0.5000  2 Ni 1.77
O: 0.5000 0.5000 0.0000  2 Ni 1.77
F: 0.3750 0.2343 0.3593  2 Ni 1.94
F: 0.7657 0.1250 0.1407  2 Ni 1.94
F: 0.8750 0.0157 0.6407  2 Ni 1.94
F: 0.9843 0.6250 0.8593  2 Ni 1.94

***

Material: HfGe2BiI
Method: DFT, GGA-PBEsol
State: optimized geometry

- ΔE_f (raw) (meV/atom) = 1414
- magnetic moment (μB/atom) = 0.00

Unit cell a=5.2109 b=5.2109 c=5.7231 alpha=90.00 beta=90.00 gamma=90.00
Last column: nearest neighbours and their distance in Å.
Sites, in units of the cell vectors:
Hf: 0.0000 0.0000 0.0000  4 Bi 3.68, 8 Ge 3.87
Ge: 0.0000 0.5000 0.5000  2 I 2.61
Ge: 0.5000 0.0000 0.5000  2 I 2.61
Bi: 0.5000 0.5000 0.0000  2 I 2.86
I: 0.5000 0.5000 0.5000  4 Ge 2.61, 2 Bi 2.86

***

Material: Cu3HgB
Method: DFT, GGA-PBEsol
State: optimized geometry

- calculated formation energy (meV/atom) = 254
- magnetic moment (μB/atom) = 0.00

Unit cell a=3.9829 b=3.9829 c=3.9829 alpha=90.00 beta=90.00 gamma=90.00
Last column: nearest neighbours and their distance in Å.
Sites, in units of the cell vectors:
Cu: 0.0000 0.0000 0.5000  2 B 1.99
Cu: 0.0000 0.5000 0.0000  2 B 1.99
Cu: 0.5000 0.0000 0.0000  2 B 1.99
Hg: 0.5000 0.5000 0.5000  12 Cu 2.82
B: 0.0000 0.0000 0.0000  6 Cu 1.99

***

Material: ZrTlMo3
Method: DFT, GGA-PBEsol
State: optimized geometry

- calculated formation energy (meV/atom) = 2397
- magnetic moment (μB/atom) = 0.00

Unit cell a=4.8791 b=4.8791 c=4.8791 alpha=90.00 beta=90.00 gamma=90.00
Last column: nearest neighbours and their distance in Å.
Sites, in units of the cell vectors:
Zr: 0.0000 0.0000 0.0000  12 Mo 3.45
Tl: 0.5000 0.5000 0.5000  6 Mo 2.44
Mo: 0.0000 0.5000 0.5000  2 Tl 2.44
Mo: 0.5000 0.0000 0.5000  2 Tl 2.44
Mo: 0.5000 0.5000 0.0000  2 Tl 2.44

***

Material: LaTa2Ag
Method: DFT, GGA-PBEsol
State: optimized geometry

- calculated formation energy (meV/atom) = 712
- magnetic moment (μB/atom) = 0.00

Unit cell a=4.7589 b=4.7589 c=4.7589 alpha=60.00 beta=60.00 gamma=60.00
Last column: nearest neighbours and their distance in Å.
Sites, in units of the cell vectors:
La: 0.0000 0.0000 0.0000  8 Ta 2.91
Ta: 0.2500 0.2500 0.2500  4 La 2.91, 4 Ag 2.91
Ta: 0.7500 0.7500 0.7500  4 La 2.91, 4 Ag 2.91
Ag: 0.5000 0.5000 0.5000  8 Ta 2.91